(1)
VASP calculation (GGA-PBE) on crystalline Li6SnGe2 at its relaxed geometry.

Output
VASP energy   -3.007 eV/atom
Crystal system   monoclinic
DOS at the Fermi energy   5.65 states/eV per cell

Geometry as CIF:
```
data_Li6SnGe2
_chemical_formula_sum 'Li12 Sn2 Ge4'
_symmetry_space_group_name_H-M 'P 1 21/c 1'
_symmetry_Int_Tables_number 14
_cell_length_a 4.761
_cell_length_b 7.848
_cell_length_c 8.939
_cell_angle_alpha 90.00
_cell_angle_beta 109.63
_cell_angle_gamma 90.00
loop_
_symmetry_equiv_pos_as_xyz
'x,y,z'
'-x,-y,-z'
'-x,y+1/2,-z+1/2'
'x,-y+1/2,z+1/2'
loop_
_atom_site_label
_atom_site_type_symbol
_atom_site_fract_x
_atom_site_fract_y
_atom_site_fract_z
_atom_site_occupancy
Li1 Li 0.018 0.190 0.030 1
Li2 Li 0.132 0.023 0.692 1
Li3 Li 0.420 0.136 0.394 1
Sn1 Sn 0.500 0.000 0.000 1
Ge1 Ge 0.347 0.702 0.792 1
```


(2)
VASP calculation (GGA-PBE) on crystalline LaTb4Gd at its relaxed geometry.

Output
VASP energy   -6.006 eV/atom
Crystal system   cubic
DOS at the Fermi energy   53.55 states/eV per cell

Geometry as CIF:
```
data_LaTb4Gd
_chemical_formula_sum 'La4 Tb16 Gd4'
_symmetry_space_group_name_H-M 'F -4 3 m'
_symmetry_Int_Tables_number 216
_symmetry_space_group_name_Hall 'F -4 2 3'
_cell_length_a 9.414
_cell_length_b 9.414
_cell_length_c 9.414
_cell_angle_alpha 90.00
_cell_angle_beta 90.00
_cell_angle_gamma 90.00
loop_
_atom_site_label
_atom_site_type_symbol
_atom_site_fract_x
_atom_site_fract_y
_atom_site_fract_z
_atom_site_occupancy
La1 La 0.000 0.000 0.000 1
Tb1 Tb 0.125 0.125 0.375 1
Gd1 Gd 0.250 0.250 0.750 1
```


(3)
VASP calculation (GGA-PBE) on crystalline BiI2NF at its relaxed geometry.

Output
ΔE to the lowest computed polymorph   239 meV/atom
VASP energy   -2.537 eV/atom
Crystal system   tetragonal
Formation energy without anion corrections   899 meV/atom
DOS at the Fermi energy   3.22 states/eV per cell

Geometry as CIF:
```
data_BiI2NF
_chemical_formula_sum 'Bi1 I2 N1 F1'
_symmetry_space_group_name_H-M 'P 4/m m m'
_symmetry_Int_Tables_number 123
_symmetry_space_group_name_Hall '-P 4 2'
_cell_length_a 5.927
_cell_length_b 5.927
_cell_length_c 3.726
_cell_angle_alpha 90.00
_cell_angle_beta 90.00
_cell_angle_gamma 90.00
loop_
_atom_site_label
_atom_site_type_symbol
_atom_site_fract_x
_atom_site_fract_y
_atom_site_fract_z
_atom_site_occupancy
Bi1 Bi 0.000 0.000 0.000 1
I1 I 0.000 0.500 0.500 1
N1 N 0.500 0.500 0.000 1
F1 F 0.500 0.500 0.500 1
```


(4)
VASP calculation (GGA-PBE) on crystalline Cs2RbHgBr at its relaxed geometry.

Output
ΔE to the lowest computed polymorph   0 meV/atom
VASP energy   -1.609 eV/atom
Crystal system   tetragonal
Formation energy without anion corrections   -679 meV/atom
DOS at the Fermi energy   3.47 states/eV per cell

Geometry as CIF:
```
data_Cs2RbHgBr
_chemical_formula_sum 'Cs2 Rb1 Hg1 Br1'
_symmetry_space_group_name_H-M 'P 4/m m m'
_symmetry_Int_Tables_number 123
_symmetry_space_group_name_Hall '-P 4 2'
_cell_length_a 7.105
_cell_length_b 7.105
_cell_length_c 6.703
_cell_angle_alpha 90.00
_cell_angle_beta 90.00
_cell_angle_gamma 90.00
loop_
_atom_site_label
_atom_site_type_symbol
_atom_site_fract_x
_atom_site_fract_y
_atom_site_fract_z
_atom_site_occupancy
Cs1 Cs 0.000 0.500 0.000 1
Rb1 Rb 0.000 0.000 0.500 1
Hg1 Hg 0.500 0.500 0.500 1
Br1 Br 0.000 0.000 0.000 1
```


(5)
VASP calculation (GGA-PBE) on crystalline Mn2OsW at its relaxed geometry.

Output
VASP energy   -10.526 eV/atom
Crystal system   tetragonal
DOS at the Fermi energy   3.52 states/eV per cell

Geometry as CIF:
```
data_Mn2OsW
_chemical_formula_sum 'Mn2 Os1 W1'
_symmetry_space_group_name_H-M 'P 4 m m'
_symmetry_Int_Tables_number 99
_cell_length_a 3.042
_cell_length_b 3.042
_cell_length_c 5.867
_cell_angle_alpha 90.00
_cell_angle_beta 90.00
_cell_angle_gamma 90.00
loop_
_symmetry_equiv_pos_as_xyz
'x,y,z'
'-y,x,z'
'-x,-y,z'
'y,-x,z'
'-x,y,z'
'y,x,z'
'x,-y,z'
'-y,-x,z'
loop_
_atom_site_label
_atom_site_type_symbol
_atom_site_fract_x
_atom_site_fract_y
_atom_site_fract_z
_atom_site_occupancy
Mn1 Mn 0.000 0.000 0.000 1
Mn2 Mn 0.500 0.500 0.225 1
Os1 Os 0.000 0.000 0.480 1
W1 W 0.500 0.500 0.758 1
```


(6)
VASP calculation (GGA-PBE) on crystalline CsNbCl6 at its relaxed geometry.

Output
ΔE to the lowest computed polymorph   12 meV/atom
VASP energy   -4.227 eV/atom
Crystal system   trigonal
Formation energy without anion corrections   -1476 meV/atom
DOS at the Fermi energy   0.00 states/eV per cell

Geometry as CIF:
```
data_CsNbCl6
_chemical_formula_sum 'Cs3 Nb3 Cl18'
_symmetry_space_group_name_H-M 'R -3 m'
_symmetry_Int_Tables_number 166
_symmetry_space_group_name_Hall '-R 3 2"'
_cell_length_a 7.0911
_cell_length_b 7.0911
_cell_length_c 19.3408
_cell_angle_alpha 90.00
_cell_angle_beta 90.00
_cell_angle_gamma 120.00
loop_
_atom_site_label
_atom_site_type_symbol
_atom_site_fract_x
_atom_site_fract_y
_atom_site_fract_z
_atom_site_occupancy
Cs1 Cs 0.0000 0.0000 0.0000 1
Nb1 Nb 0.0000 0.0000 0.5000 1
Cl1 Cl 0.0163 0.5081 0.0955 1
```


(7)
VASP calculation (GGA-PBE) on crystalline TlAgSe2N at its relaxed geometry.

Output
ΔE to the lowest computed polymorph   0 meV/atom
VASP energy   -3.201 eV/atom
Crystal system   tetragonal
Formation energy without anion corrections   901 meV/atom
DOS at the Fermi energy   5.45 states/eV per cell

Geometry as CIF:
```
data_TlAgSe2N
_chemical_formula_sum 'Tl1 Ag1 Se2 N1'
_symmetry_space_group_name_H-M 'P 4/m m m'
_symmetry_Int_Tables_number 123
_symmetry_space_group_name_Hall '-P 4 2'
_cell_length_a 5.385
_cell_length_b 5.385
_cell_length_c 4.065
_cell_angle_alpha 90.00
_cell_angle_beta 90.00
_cell_angle_gamma 90.00
loop_
_atom_site_label
_atom_site_type_symbol
_atom_site_fract_x
_atom_site_fract_y
_atom_site_fract_z
_atom_site_occupancy
Tl1 Tl 0.000 0.000 0.000 1
Ag1 Ag 0.500 0.500 0.500 1
Se1 Se 0.000 0.500 0.500 1
N1 N 0.500 0.500 0.000 1
```